DFT (GGA+U) results for a relaxed structure of MnGePdO6. Values from VASP.

Geometry as Quantum ESPRESSO input:
```
&SYSTEM
  ibrav = 0, nat = 18, ntyp = 4
/
ATOMIC_SPECIES
Mn 54.94 Mn.upf
Ge 72.64 Ge.upf
Pd 106.42 Pd.upf
O 16.00 O.upf
ATOMIC_POSITIONS crystal
Mn 0.500 0.500 0.499
Mn 0.000 0.000 0.999
Ge 0.500 0.500 0.833
Ge 0.000 0.000 0.333
Pd 0.500 0.500 0.167
Pd 0.000 0.000 0.667
O 0.195 0.805 0.492
O 0.805 0.195 0.492
O 0.305 0.305 0.992
O 0.695 0.695 0.992
O 0.185 0.815 0.168
O 0.815 0.185 0.168
O 0.315 0.315 0.668
O 0.685 0.685 0.668
O 0.803 0.197 0.840
O 0.197 0.803 0.840
O 0.697 0.697 0.340
O 0.303 0.303 0.340
CELL_PARAMETERS angstrom
-2.429 3.621 1.166
-2.165 -0.178 -3.956
-6.264 -5.384 3.671
```

## Properties
Total magnetization = 2.99 μB/f.u.
Space group = P4_2nm (102)
Electronic total energy = -112.86 eV for the cell shown
N(E_F) = 3.909 states/eV/cell